i.
GaBC3 | GGA-PBE | optimized geometry

Output
DOS(E_F), states/eV per cell: 3.977

CIF file:
```
data_GaBC3
_cell_length_a 3.9726
_cell_length_b 3.9726
_cell_length_c 3.9726
_cell_angle_alpha 90.00
_cell_angle_beta 90.00
_cell_angle_gamma 90.00
_symmetry_space_group_name_H-M 'P m -3 m'
_symmetry_Int_Tables_number 221
_symmetry_space_group_name_Hall '-P 4 2 3'
loop_
_atom_site_label
_atom_site_type_symbol
_atom_site_fract_x
_atom_site_fract_y
_atom_site_fract_z
Ga1 Ga 0.0000 0.0000 0.0000
B1 B 0.5000 0.5000 0.5000
C1 C 0.0000 0.0000 0.5000
```

ii.
GaBC3 | GGA-PBE | optimized geometry

Output
DOS(E_F), states/eV per cell: 2.569

CIF file:
```
data_GaBC3
_cell_length_a 3.5314
_cell_length_b 3.5314
_cell_length_c 3.5314
_cell_angle_alpha 90.00
_cell_angle_beta 90.00
_cell_angle_gamma 90.00
_symmetry_space_group_name_H-M 'P m -3 m'
_symmetry_Int_Tables_number 221
_symmetry_space_group_name_Hall '-P 4 2 3'
loop_
_atom_site_label
_atom_site_type_symbol
_atom_site_fract_x
_atom_site_fract_y
_atom_site_fract_z
Ga1 Ga 0.0000 0.0000 0.0000
B1 B 0.5000 0.5000 0.5000
C1 C 0.0000 0.5000 0.5000
```

Short version: i is the least stable of them.

i.
GaB3C | GGA-PBE | optimized geometry

Output
DOS(E_F), states/eV per cell: 1.614

CIF file:
```
data_GaB3C
_cell_length_a 3.5538
_cell_length_b 3.5538
_cell_length_c 3.5538
_cell_angle_alpha 90.00
_cell_angle_beta 90.00
_cell_angle_gamma 90.00
_symmetry_space_group_name_H-M 'P m -3 m'
_symmetry_Int_Tables_number 221
_symmetry_space_group_name_Hall '-P 4 2 3'
loop_
_atom_site_label
_atom_site_type_symbol
_atom_site_fract_x
_atom_site_fract_y
_atom_site_fract_z
Ga1 Ga 0.0000 0.0000 0.0000
B1 B 0.0000 0.5000 0.5000
C1 C 0.5000 0.5000 0.5000
```

ii.
GaB3C | GGA-PBE | optimized geometry

Output
DOS(E_F), states/eV per cell: 2.843

CIF file:
```
data_GaB3C
_cell_length_a 4.0744
_cell_length_b 4.0744
_cell_length_c 4.0744
_cell_angle_alpha 90.00
_cell_angle_beta 90.00
_cell_angle_gamma 90.00
_symmetry_space_group_name_H-M 'P m -3 m'
_symmetry_Int_Tables_number 221
_symmetry_space_group_name_Hall '-P 4 2 3'
loop_
_atom_site_label
_atom_site_type_symbol
_atom_site_fract_x
_atom_site_fract_y
_atom_site_fract_z
Ga1 Ga 0.0000 0.0000 0.0000
B1 B 0.0000 0.0000 0.5000
C1 C 0.5000 0.5000 0.5000
```

Short version: ii is the least stable of them.

i.
GaB2C | GGA-PBE | optimized geometry

Output
DOS(E_F), states/eV per cell: 7.170

CIF file:
```
data_GaB2C
_cell_length_a 5.3505
_cell_length_b 5.3505
_cell_length_c 5.3505
_cell_angle_alpha 90.00
_cell_angle_beta 90.00
_cell_angle_gamma 90.00
_symmetry_space_group_name_H-M 'F m -3 m'
_symmetry_Int_Tables_number 225
_symmetry_space_group_name_Hall '-F 4 2 3'
loop_
_atom_site_label
_atom_site_type_symbol
_atom_site_fract_x
_atom_site_fract_y
_atom_site_fract_z
Ga1 Ga 0.0000 0.0000 0.0000
B1 B 0.2500 0.2500 0.2500
C1 C 0.0000 0.0000 0.5000
```

ii.
GaB2C | GGA-PBE | optimized geometry

Output
DOS(E_F), states/eV per cell: 7.596

CIF file:
```
data_GaB2C
_cell_length_a 4.5563
_cell_length_b 4.5563
_cell_length_c 7.6718
_cell_angle_alpha 90.00
_cell_angle_beta 90.00
_cell_angle_gamma 90.00
_symmetry_space_group_name_H-M 'I -4 2 d'
_symmetry_Int_Tables_number 122
_symmetry_space_group_name_Hall 'I -4 2bw'
loop_
_atom_site_label
_atom_site_type_symbol
_atom_site_fract_x
_atom_site_fract_y
_atom_site_fract_z
Ga1 Ga 0.0000 0.0000 0.0000
B1 B 0.1423 0.2500 0.6250
C1 C 0.0000 0.0000 0.5000
```

Short version: i is the least stable of them.

i.
Ga2B2C | GGA-PBE | optimized geometry

Output
DOS(E_F), states/eV per cell: 1.989

CIF file:
```
data_Ga2B2C
_cell_length_a 4.5754
_cell_length_b 4.5754
_cell_length_c 5.6644
_cell_angle_alpha 90.00
_cell_angle_beta 90.00
_cell_angle_gamma 90.00
_symmetry_space_group_name_H-M 'P 4/m b m'
_symmetry_Int_Tables_number 127
_symmetry_space_group_name_Hall '-P 4 2ab'
loop_
_atom_site_label
_atom_site_type_symbol
_atom_site_fract_x
_atom_site_fract_y
_atom_site_fract_z
Ga1 Ga 0.1888 0.3112 0.0000
B1 B 0.1332 0.6332 0.5000
C1 C 0.0000 0.0000 0.5000
```

ii.
Ga2B2C | GGA-PBE | optimized geometry

Output
DOS(E_F), states/eV per cell: 3.704

CIF file:
```
data_Ga2B2C
_cell_length_a 3.6896
_cell_length_b 3.6896
_cell_length_c 8.5091
_cell_angle_alpha 90.00
_cell_angle_beta 90.00
_cell_angle_gamma 90.00
_symmetry_space_group_name_H-M 'I 4/m m m'
_symmetry_Int_Tables_number 139
_symmetry_space_group_name_Hall '-I 4 2'
loop_
_atom_site_label
_atom_site_type_symbol
_atom_site_fract_x
_atom_site_fract_y
_atom_site_fract_z
Ga1 Ga 0.0000 0.5000 0.2500
B1 B 0.0000 0.0000 0.0952
C1 C 0.0000 0.0000 0.5000
```

Short version: ii is the least stable of them.

i.
GeBC2 | GGA-PBE | optimized geometry

Output
DOS(E_F), states/eV per cell: 6.502

CIF file:
```
data_GeBC2
_cell_length_a 5.2538
_cell_length_b 5.2538
_cell_length_c 5.2538
_cell_angle_alpha 90.00
_cell_angle_beta 90.00
_cell_angle_gamma 90.00
_symmetry_space_group_name_H-M 'F m -3 m'
_symmetry_Int_Tables_number 225
_symmetry_space_group_name_Hall '-F 4 2 3'
loop_
_atom_site_label
_atom_site_type_symbol
_atom_site_fract_x
_atom_site_fract_y
_atom_site_fract_z
Ge1 Ge 0.0000 0.0000 0.0000
B1 B 0.0000 0.0000 0.5000
C1 C 0.2500 0.2500 0.2500
```

ii.
GeBC2 | GGA-PBE | optimized geometry

Output
DOS(E_F), states/eV per cell: 7.709

CIF file:
```
data_GeBC2
_cell_length_a 4.2295
_cell_length_b 4.2295
_cell_length_c 8.2863
_cell_angle_alpha 90.00
_cell_angle_beta 90.00
_cell_angle_gamma 90.00
_symmetry_space_group_name_H-M 'I -4 2 d'
_symmetry_Int_Tables_number 122
_symmetry_space_group_name_Hall 'I -4 2bw'
loop_
_atom_site_label
_atom_site_type_symbol
_atom_site_fract_x
_atom_site_fract_y
_atom_site_fract_z
Ge1 Ge 0.0000 0.0000 0.0000
B1 B 0.0000 0.0000 0.5000
C1 C 0.1922 0.2500 0.6250
```

Short version: i is the least stable of them.

i.
GeBC3 | GGA-PBE | optimized geometry

Output
DOS(E_F), states/eV per cell: 1.582

CIF file:
```
data_GeBC3
_cell_length_a 3.5424
_cell_length_b 3.5424
_cell_length_c 3.5424
_cell_angle_alpha 90.00
_cell_angle_beta 90.00
_cell_angle_gamma 90.00
_symmetry_space_group_name_H-M 'P m -3 m'
_symmetry_Int_Tables_number 221
_symmetry_space_group_name_Hall '-P 4 2 3'
loop_
_atom_site_label
_atom_site_type_symbol
_atom_site_fract_x
_atom_site_fract_y
_atom_site_fract_z
Ge1 Ge 0.0000 0.0000 0.0000
B1 B 0.5000 0.5000 0.5000
C1 C 0.0000 0.5000 0.5000
```

ii.
GeBC3 | GGA-PBE | optimized geometry

Output
DOS(E_F), states/eV per cell: 5.155

CIF file:
```
data_GeBC3
_cell_length_a 3.9257
_cell_length_b 3.9257
_cell_length_c 3.9257
_cell_angle_alpha 90.00
_cell_angle_beta 90.00
_cell_angle_gamma 90.00
_symmetry_space_group_name_H-M 'P m -3 m'
_symmetry_Int_Tables_number 221
_symmetry_space_group_name_Hall '-P 4 2 3'
loop_
_atom_site_label
_atom_site_type_symbol
_atom_site_fract_x
_atom_site_fract_y
_atom_site_fract_z
Ge1 Ge 0.0000 0.0000 0.0000
B1 B 0.5000 0.5000 0.5000
C1 C 0.0000 0.0000 0.5000
```

Short version: ii is the least stable of them.

i.
HfBC3 | GGA-PBE | optimized geometry

Output
DOS(E_F), states/eV per cell: 2.184

CIF file:
```
data_HfBC3
_cell_length_a 4.3023
_cell_length_b 4.3023
_cell_length_c 4.3023
_cell_angle_alpha 90.00
_cell_angle_beta 90.00
_cell_angle_gamma 90.00
_symmetry_space_group_name_H-M 'P m -3 m'
_symmetry_Int_Tables_number 221
_symmetry_space_group_name_Hall '-P 4 2 3'
loop_
_atom_site_label
_atom_site_type_symbol
_atom_site_fract_x
_atom_site_fract_y
_atom_site_fract_z
Hf1 Hf 0.0000 0.0000 0.0000
B1 B 0.5000 0.5000 0.5000
C1 C 0.0000 0.0000 0.5000
```

ii.
HfBC3 | GGA-PBE | optimized geometry

Output
DOS(E_F), states/eV per cell: 2.668

CIF file:
```
data_HfBC3
_cell_length_a 3.5116
_cell_length_b 3.5116
_cell_length_c 3.5116
_cell_angle_alpha 90.00
_cell_angle_beta 90.00
_cell_angle_gamma 90.00
_symmetry_space_group_name_H-M 'P m -3 m'
_symmetry_Int_Tables_number 221
_symmetry_space_group_name_Hall '-P 4 2 3'
loop_
_atom_site_label
_atom_site_type_symbol
_atom_site_fract_x
_atom_site_fract_y
_atom_site_fract_z
Hf1 Hf 0.0000 0.0000 0.0000
B1 B 0.5000 0.5000 0.5000
C1 C 0.0000 0.5000 0.5000
```

Short version: i is the least stable of them.

i.
HgBC3 | GGA-PBE | optimized geometry

Output
DOS(E_F), states/eV per cell: 5.611

CIF file:
```
data_HgBC3
_cell_length_a 4.3288
_cell_length_b 4.3288
_cell_length_c 4.3288
_cell_angle_alpha 90.00
_cell_angle_beta 90.00
_cell_angle_gamma 90.00
_symmetry_space_group_name_H-M 'P m -3 m'
_symmetry_Int_Tables_number 221
_symmetry_space_group_name_Hall '-P 4 2 3'
loop_
_atom_site_label
_atom_site_type_symbol
_atom_site_fract_x
_atom_site_fract_y
_atom_site_fract_z
Hg1 Hg 0.0000 0.0000 0.0000
B1 B 0.5000 0.5000 0.5000
C1 C 0.0000 0.0000 0.5000
```

ii.
HgBC3 | GGA-PBE | optimized geometry

Output
DOS(E_F), states/eV per cell: 2.724

CIF file:
```
data_HgBC3
_cell_length_a 3.6650
_cell_length_b 3.6650
_cell_length_c 3.6650
_cell_angle_alpha 90.00
_cell_angle_beta 90.00
_cell_angle_gamma 90.00
_symmetry_space_group_name_H-M 'P m -3 m'
_symmetry_Int_Tables_number 221
_symmetry_space_group_name_Hall '-P 4 2 3'
loop_
_atom_site_label
_atom_site_type_symbol
_atom_site_fract_x
_atom_site_fract_y
_atom_site_fract_z
Hg1 Hg 0.0000 0.0000 0.0000
B1 B 0.5000 0.5000 0.5000
C1 C 0.0000 0.5000 0.5000
```

Short version: i is the least stable of them.